(1)
Below is a relaxed structure of Zr3GaSi, with properties calculated at the PBEsol level.

Results
D(E_F) (states/eV per atom): 0.7793
Formation energy (no corrections) (eV/atom): 0.065
Space-group type: Pm-3m, No. 221

Geometry as extended XYZ:
```
5
Lattice="4.851 0.000 0.000 0.000 4.851 0.000 0.000 0.000 4.851" Properties=species:S:1:pos:R:3 pbc="T T T"
Si 0.000 0.000 0.000
Zr 2.425 0.000 0.000
Zr 0.000 2.425 0.000
Zr 0.000 0.000 2.425
Ga 2.425 2.425 2.425
```

(2)
Below is a relaxed structure of Tl3In, with properties calculated at the PBEsol level.

Results
D(E_F) (states/eV per atom): 0.4073
DFT formation energy (eV/atom): 0.01
Space-group type: P4/mmm, No. 123

Geometry as extended XYZ:
```
4
Lattice="-0.472 -3.604 -1.301 4.181 0.626 -3.252 3.247 -1.807 3.827" Properties=species:S:1:pos:R:3 pbc="T T T"
Tl 3.714 -0.590 0.288
Tl 1.855 -1.489 -2.276
Tl 1.387 -2.705 1.263
In 0.000 0.000 0.000
```

(3)
Below is a relaxed structure of FeAs4, with properties calculated at the PBEsol level.

Results
D(E_F) (states/eV per atom): 1.0408
DFT formation energy (eV/atom): 0.54
Space-group type: I4/mmm, No. 139

Geometry as extended XYZ:
```
5
Lattice="5.135 0.000 0.000 -2.568 4.519 0.017 0.000 2.902 4.237" Properties=species:S:1:pos:R:3 pbc="T T T"
As 0.000 2.985 1.068
As 2.568 4.436 3.186
As 2.568 2.553 1.364
As 0.000 4.868 2.890
Fe 0.000 0.000 0.000
```

(4)
Below is a relaxed structure of Mg2BeAs, with properties calculated at the PBEsol level.

Results
D(E_F) (states/eV per atom): 0.4325
Relative energy among the computed polymorphs (eV per atom): 0.058
DFT formation energy (eV/atom): 0.11
Space-group type: P4mm, No. 99

Geometry as extended XYZ:
```
4
Lattice="3.241 0.000 0.000 0.000 3.241 0.000 0.000 0.000 6.813" Properties=species:S:1:pos:R:3 pbc="T T T"
Mg 0.000 0.000 6.551
Mg 1.621 1.621 1.965
Be 1.621 1.621 4.662
As 0.000 0.000 3.855
```

(5)
Below is a relaxed structure of Ag3As, with properties calculated at the PBEsol level.

Results
D(E_F) (states/eV per atom): 0.2731
DFT formation energy (eV/atom): 0.09
Space-group type: P4/mmm, No. 123

Geometry as extended XYZ:
```
4
Lattice="-2.347 -0.277 -1.644 -0.712 -2.399 1.422 -4.336 4.507 5.431" Properties=species:S:1:pos:R:3 pbc="T T T"
As -1.530 -1.338 -0.111
Ag -3.698 0.915 2.605
Ag -1.104 1.147 1.383
Ag -3.232 3.359 4.049
```

(6)
Below is a relaxed structure of SiMo2, with properties calculated at the PBEsol level.

Results
D(E_F) (states/eV per atom): 0.7973
Relative energy among the computed polymorphs (eV per atom): 0.000
Formation energy (no corrections) (eV/atom): -0.355
Space-group type: I4/mcm, No. 140

Geometry as extended XYZ:
```
6
Lattice="4.838 -0.001 0.000 -2.361 4.222 0.000 -1.238 -2.111 4.173" Properties=species:S:1:pos:R:3 pbc="T T T"
Mo 1.908 1.718 2.087
Mo -0.562 3.166 0.776
Mo -0.670 0.393 2.087
Mo 1.800 -1.056 3.397
Si 0.619 1.055 0.000
Si 1.857 3.166 0.000
```